## P
Entry from Alexandria via LeMat-Bulk: a relaxed structure of ZrMoAsSe2 (GGA-PBE).

```
ZrMoAsSe2
1.0
-0.6845 -4.6429 2.1110
-0.4964 -2.0591 -4.6898
5.1735 -0.8434 -0.1773
Mo As Zr Se
1 1 1 2
direct
0.5000 0.5000 0.5000
0.0000 0.0000 0.5000
0.0000 0.0000 0.0000
0.0000 0.5000 0.0000
0.5000 0.0000 0.0000
```

## Properties
Space group = No. 123
M_tot = 0.72 μB per atom

## Q
Entry from Alexandria via LeMat-Bulk: a relaxed structure of ZrMoAsSe2 (GGA-PBE).

```
ZrMoAsSe2
1.0
-0.8404 -4.2183 2.3419
4.7763 -0.3911 1.0095
-0.6800 2.4483 4.1660
As Se Zr Mo
1 2 1 1
direct
0.0000 0.0000 0.5000
0.5000 0.0000 0.0000
0.0000 0.5000 0.0000
0.5000 0.5000 0.5000
0.0000 0.0000 0.0000
```

## Properties
Space group = No. 123
M_tot = 0.38 μB per atom

Relative stability in kJ/mol of atoms, measured from the most stable structure: P 15.9; Q 0.0